No. 1
Dy2TmVO6 (PBE+U, relaxed); total DFT energy (no corrections) = -82.59 eV per cell; magnetization = 2.00 μB/f.u.
1.0
2.811 1.623 4.898
-2.811 1.623 4.898
0.000 -3.246 4.898
Dy Tm V O
2 1 1 6
Direct
0.000 0.000 0.000
0.495 0.495 0.495
0.217 0.217 0.217
0.710 0.710 0.710
0.074 0.432 0.829
0.344 0.910 0.594
0.432 0.829 0.074
0.594 0.344 0.910
0.829 0.074 0.432
0.910 0.594 0.344



No. 2
DyTmV2O8 (PBE+U, relaxed); total DFT energy (no corrections) = -96.61 eV per cell; magnetization = 0.00 μB/f.u.
1.0
-3.583 3.583 3.163
3.583 -3.583 3.163
3.583 3.583 -3.163
Dy Tm V O
1 1 2 8
Direct
0.000 0.000 0.000
0.250 0.750 0.500
0.500 0.500 0.000
0.750 0.250 0.500
0.325 0.138 0.813
0.325 0.512 0.187
0.387 0.072 0.316
0.488 0.675 0.813
0.756 0.072 0.684
0.862 0.675 0.187
0.928 0.244 0.316
0.928 0.613 0.684